[1]
LiAl2Os | GGA-PBEsol | relaxed

Cell and atoms, written as CIF:
```
data_LiAl2Os
_cell_length_a 6.0002
_cell_length_b 6.0002
_cell_length_c 6.0002
_cell_angle_alpha 90.00
_cell_angle_beta 90.00
_cell_angle_gamma 90.00
_symmetry_space_group_name_H-M 'F m -3 m'
_symmetry_Int_Tables_number 225
_symmetry_space_group_name_Hall '-F 4 2 3'
loop_
_atom_site_label
_atom_site_fract_x
_atom_site_fract_y
_atom_site_fract_z
Li1 0.0000 0.0000 0.0000
Al1 0.2500 0.2500 0.2500
Os1 0.0000 0.0000 0.5000
```

Energy relative to the lowest polymorph listed for this composition   0 meV per atom
N(E_F)   5.86 states/eV/cell
ΔH_f (0 K)   -0.39 eV/atom


[2]
LiAlOs2 | GGA-PBEsol | relaxed

Cell and atoms, written as CIF:
```
data_LiAlOs2
_cell_length_a 3.6882
_cell_length_b 3.6882
_cell_length_c 7.9325
_cell_angle_alpha 90.00
_cell_angle_beta 90.00
_cell_angle_gamma 90.00
_symmetry_space_group_name_H-M 'I 4/m m m'
_symmetry_Int_Tables_number 139
_symmetry_space_group_name_Hall '-I 4 2'
loop_
_atom_site_label
_atom_site_fract_x
_atom_site_fract_y
_atom_site_fract_z
Li1 0.0000 0.0000 0.0000
Al1 0.0000 0.0000 0.5000
Os1 0.0000 0.5000 0.2500
```

N(E_F)   8.24 states/eV/cell
ΔH_f (0 K)   0.18 eV/atom


[3]
Li2AlOs | GGA-PBEsol | relaxed

Cell and atoms, written as CIF:
```
data_Li2AlOs
_cell_length_a 2.7788
_cell_length_b 4.2543
_cell_length_c 9.2446
_cell_angle_alpha 90.00
_cell_angle_beta 90.00
_cell_angle_gamma 90.00
_symmetry_space_group_name_H-M 'I m m m'
_symmetry_Int_Tables_number 71
_symmetry_space_group_name_Hall '-I 2 2'
loop_
_atom_site_label
_atom_site_fract_x
_atom_site_fract_y
_atom_site_fract_z
Li1 0.0000 0.0000 0.2488
Al1 0.0000 0.5000 0.0000
Os1 0.0000 0.5000 0.5000
```

N(E_F)   3.82 states/eV/cell
ΔH_f (0 K)   -0.08 eV/atom